Entry 1:
Material: KScS2
Method: DFT, PBE
State: relaxed

Lattice parameters (Å, degrees): 7.8954 7.8954 6.5359 52.84 52.84 90.00
Element x y z (fractional)
S1 0.6607 0.8393 0.0000
S2 0.8393 0.3393 0.0000
S3 0.1607 0.6607 0.0000
S4 0.3393 0.1607 0.0000
Sc1 0.2500 0.7500 0.5000
Sc2 0.7500 0.2500 0.5000
K1 0.7500 0.7500 0.5000
K2 0.2500 0.2500 0.5000

Output
SG ... I4/mcm
Formation energy without anion corrections ... -1583 meV/atom
Calculated density ... 2323 kg/m3

Entry 2:
Material: K3ScS3
Method: DFT, PBE
State: relaxed

Lattice parameters (Å, degrees): 7.9897 7.9897 7.7437 95.64 95.64 114.25
Element x y z (fractional)
K1 0.3849 0.3849 0.6384
K2 0.2499 0.7501 0.0000
K3 0.1816 0.8184 0.5000
K4 0.6151 0.6151 0.3616
K5 0.8184 0.1816 0.5000
K6 0.7501 0.2499 0.0000
S1 0.5464 0.8396 0.7277
S2 0.1604 0.4536 0.2723
S3 0.8992 0.8992 0.1848
S4 0.4536 0.1604 0.2723
S5 0.1008 0.1008 0.8152
S6 0.8396 0.5464 0.7277
Sc1 0.8238 0.8238 0.8569
Sc2 0.1762 0.1762 0.1431

Output
Distance to the lowest polymorph of the same formula ... 0.00 eV/f.u.
SG ... C2/m
Formation energy without anion corrections ... -1467 meV/atom
Calculated density ... 1936 kg/m3

Entry 3:
Material: KScS2
Method: DFT, PBE
State: relaxed

Lattice parameters (Å, degrees): 3.7105 9.7341 5.2254 90.00 90.00 79.01
Element x y z (fractional)
K1 0.6653 0.9204 0.2802
K2 0.7683 0.7048 0.7802
Sc1 0.9084 0.4290 0.2802
Sc2 0.5249 0.1963 0.7802
S1 0.9299 0.3864 0.7802
S2 0.3137 0.6182 0.2802
S3 0.1197 0.0070 0.7802
S4 0.5035 0.2389 0.2802

Output
SG ... P2_1/m
Formation energy without anion corrections ... -1696 meV/atom
Calculated density ... 2656 kg/m3